Density functional theory data (PBE) for a relaxed RbSm2MnSe4 crystal.

a b c (Å): 4.210 14.666 14.714
angles (deg): 90.00 90.00 90.00
Space group Cmcm (No. 63)
One atom of each set of equivalent atoms:
Rb 0.000 0.106 0.250 (multiplicity 4)
Sm 0.000 0.368 0.059 (multiplicity 8)
Mn 0.000 0.168 0.750 (multiplicity 4)
Se 0.000 0.000 0.000 (multiplicity 4)
Se 0.000 0.264 0.611 (multiplicity 8)
Se 0.000 0.427 0.250 (multiplicity 4)

Output
Total magnetic moment   4.17 μB/f.u.
Formation energy (no corrections)   -1.46 eV/atom

=====

Density functional theory data (PBE) for a relaxed Tc4Pt3 crystal.

a b c (Å): 3.302 3.302 19.560
angles (deg): 90.00 90.00 90.00
Space group I4/mmm (No. 139)
One atom of each set of equivalent atoms:
Tc 0.000 0.000 0.071 (multiplicity 4)
Tc 0.000 0.000 0.360 (multiplicity 4)
Pt 0.000 0.000 0.215 (multiplicity 4)
Pt 0.000 0.000 0.500 (multiplicity 2)

Output
Formation enthalpy at 0 K   9 kJ per mole of atoms
Total magnetic moment   0.00 μB/f.u.
Distance to the lowest polymorph of the same formula   0.000 eV/atom

=====

Density functional theory data (PBE) for a relaxed LuUMn2 crystal.

a b c (Å): 4.693 4.693 3.286
angles (deg): 90.00 90.00 90.00
Space group P4/mmm (No. 123)
One atom of each set of equivalent atoms:
Lu 0.000 0.000 0.000 (multiplicity 1)
U 0.500 0.500 0.000 (multiplicity 1)
Mn 0.000 0.500 0.500 (multiplicity 2)

Output
Formation enthalpy at 0 K   19 kJ per mole of atoms
Total magnetic moment   1.76 μB/f.u.
Distance to the lowest polymorph of the same formula   0.147 eV/atom

=====

Density functional theory data (PBE) for a relaxed Na2IF crystal.

a b c (Å): 7.173 7.173 7.173
angles (deg): 90.00 90.00 90.00
Space group Fm-3m (No. 225)
One atom of each set of equivalent atoms:
Na 0.250 0.250 0.250 (multiplicity 8)
I 0.000 0.000 0.000 (multiplicity 4)
F 0.000 0.000 0.500 (multiplicity 4)

Output
Total magnetic moment   0.00 μB/f.u.
Formation energy (no corrections)   -1.62 eV/atom
Distance to the lowest polymorph of the same formula   0.353 eV/atom

=====

Density functional theory data (PBE) for a relaxed Zn2TeAu crystal.

a b c (Å): 4.575 4.584 7.648
angles (deg): 90.00 90.00 90.00
Space group Cmmm (No. 65)
One atom of each set of equivalent atoms:
Zn 0.000 0.000 0.200 (multiplicity 4)
Te 0.000 0.500 0.500 (multiplicity 2)
Au 0.000 0.500 0.000 (multiplicity 2)

Output
Total magnetic moment   0.00 μB/f.u.
Formation energy (no corrections)   0.09 eV/atom

=====

Density functional theory data (PBE) for a relaxed Pm4PrNd crystal.

a b c (Å): 9.509 9.509 9.509
angles (deg): 90.00 90.00 90.00
Space group F-43m (No. 216)
One atom of each set of equivalent atoms:
Pm 0.125 0.125 0.125 (multiplicity 16)
Pr 0.250 0.250 0.750 (multiplicity 4)
Nd 0.000 0.000 0.500 (multiplicity 4)

Output
Formation enthalpy at 0 K   24 kJ per mole of atoms
Total magnetic moment   0.00 μB/f.u.
Distance to the lowest polymorph of the same formula   0.257 eV/atom